The following is a GGA+U calculation of an optimized crystal structure of Cs3Cr2O8, from Alexandria.

Cell and atoms, written as extended XYZ:
```
13
Lattice="-5.0205 2.2120 3.2419 -2.6495 -3.5492 4.5817 2.3163 2.7997 7.9398" Properties=species:S:1:pos:R:3 pbc="T T T"
Cs 0.0000 0.0000 0.0000
Cs -4.6634 0.6652 11.1135
Cs -0.6903 0.7973 4.6500
Cr -4.0085 -0.1556 6.4247
Cr -1.3452 1.6181 9.3388
O -5.0358 -0.8398 5.3007
O -0.3180 2.3023 10.4628
O -2.6201 -1.0729 6.5169
O -3.6361 1.3957 5.9428
O -4.7714 -0.1251 7.9061
O -1.7176 0.0668 9.8206
O -2.7336 2.5354 9.2465
O -0.5823 1.5876 7.8574
```

## Properties
Final energy = -5.89 eV/atom
Total magnetization = 1.1 μB/f.u.